1.
# NiSbPPt2 (PBE, relaxed)
data_NiSbPPt2
_symmetry_space_group_name_H-M 'P 4/m m m'
_symmetry_Int_Tables_number 123
_symmetry_space_group_name_Hall '-P 4 2'
_cell_length_a 4.624
_cell_length_b 4.624
_cell_length_c 4.223
_cell_angle_alpha 90.00
_cell_angle_beta 90.00
_cell_angle_gamma 90.00
loop_
_atom_site_label
_atom_site_fract_x
_atom_site_fract_y
_atom_site_fract_z
Ni1 0.000 0.000 0.000
Sb1 0.500 0.500 0.000
P1 0.000 0.000 0.500
Pt1 0.000 0.500 0.500
# **DFT total energy**: -5.4667 eV/atom



2.
# Sm2NiP3Pt4 (PBE, relaxed)
data_Sm2NiP3Pt4
_symmetry_space_group_name_H-M 'P -4 m 2'
_symmetry_Int_Tables_number 115
_symmetry_space_group_name_Hall 'P -4 -2'
_cell_length_a 4.236
_cell_length_b 4.236
_cell_length_c 9.689
_cell_angle_alpha 90.00
_cell_angle_beta 90.00
_cell_angle_gamma 90.00
loop_
_atom_site_label
_atom_site_fract_x
_atom_site_fract_y
_atom_site_fract_z
Sm1 0.000 0.500 0.246
Ni1 0.500 0.500 0.000
P1 0.000 0.000 0.000
P2 0.000 0.500 0.634
Pt1 0.000 0.000 0.500
Pt2 0.000 0.500 0.874
Pt3 0.500 0.500 0.500
# **Formation energy**: -0.894 eV/atom



3.
# Sm2NiP4Pt3 (PBE, relaxed)
data_Sm2NiP4Pt3
_symmetry_space_group_name_H-M 'P -4 m 2'
_symmetry_Int_Tables_number 115
_symmetry_space_group_name_Hall 'P -4 -2'
_cell_length_a 4.248
_cell_length_b 4.248
_cell_length_c 9.476
_cell_angle_alpha 90.00
_cell_angle_beta 90.00
_cell_angle_gamma 90.00
loop_
_atom_site_label
_atom_site_fract_x
_atom_site_fract_y
_atom_site_fract_z
Sm1 0.000 0.500 0.249
Ni1 0.500 0.500 0.000
P1 0.000 0.000 0.500
P2 0.000 0.500 0.874
P3 0.500 0.500 0.500
Pt1 0.000 0.000 0.000
Pt2 0.000 0.500 0.620
# **Formation energy**: -0.966 eV/atom